Computed, not measured: Ta2Be2V after structural relaxation at the GGA-PBE level of DFT.

Lattice parameters (Å, degrees): 7.2598 7.2598 2.6958 90.00 90.00 90.00
Closest atoms and distances in Å follow each position.
Space group P4/mbm (No. 127)
Symmetry-distinct sites (fractional):
Ta1 0.1330 0.3670 0.0000 x4  6 Be 2.45-2.58, 3 Ta 2.70-2.73
Be1 0.1674 0.6674 0.5000 x4  6 Ta 2.45-2.58, 2 Be 2.70
V1 0.0000 0.0000 0.0000 x2  2 V 2.70, 4 Ta 2.83

- Volume: 142 Å³ per cell
- Mass density: 10.07 Mg/m³
- ΔE_f: 0.396 eV per atom